## BaNaVF6 (GGA+U)

Data for a relaxed structure of BaNaVF6.

a b c (Å): 5.478 5.705 5.708
angles (deg): 119.85 90.02 90.03
Space group P1 (No. 1)
One atom of each set of equivalent atoms:
Ba: 0.000 0.000 0.000 x1
Na: 0.500 0.333 0.667 x1
V: 0.499 0.667 0.333 x1
F: 0.292 0.957 0.613 x1
F: 0.293 0.386 0.344 x1
F: 0.293 0.655 0.042 x1
F: 0.706 0.657 0.615 x1
F: 0.706 0.958 0.344 x1
F: 0.707 0.387 0.043 x1

E (eV/atom): -5.666